Material: Sm2Ge4PdRh3
Method: DFT, PBE-GGA
State: relaxed

Summary:
The calculation puts the formation energy at -0.8446 eV per atom.

Geometry as CIF:
```
data_Sm2Ge4PdRh3
_space_group_name_H-M_alt 'P -4 m 2'
_space_group_IT_number 115
_space_group_name_Hall 'P -4 -2'
_cell_length_a 4.251
_cell_length_b 4.251
_cell_length_c 10.199
_cell_angle_alpha 90.00
_cell_angle_beta 90.00
_cell_angle_gamma 90.00
loop_
_atom_site_label
_atom_site_fract_x
_atom_site_fract_y
_atom_site_fract_z
_atom_site_occupancy
Sm1 0.000 0.500 0.241 1
Ge1 0.000 0.000 0.000 1
Ge2 0.000 0.500 0.636 1
Ge3 0.500 0.500 0.000 1
Pd1 0.000 0.000 0.500 1
Rh1 0.000 0.500 0.874 1
Rh2 0.500 0.500 0.500 1
```

Material: NaTlV3
Method: DFT, PBE-GGA
State: relaxed

Summary:
The calculation puts the formation energy at 1.6227 eV per atom.

Geometry as CIF:
```
data_NaTlV3
_space_group_name_H-M_alt 'P m -3 m'
_space_group_IT_number 221
_space_group_name_Hall '-P 4 2 3'
_cell_length_a 5.281
_cell_length_b 5.281
_cell_length_c 5.281
_cell_angle_alpha 90.00
_cell_angle_beta 90.00
_cell_angle_gamma 90.00
loop_
_atom_site_label
_atom_site_fract_x
_atom_site_fract_y
_atom_site_fract_z
_atom_site_occupancy
Na1 0.000 0.000 0.000 1
Tl1 0.500 0.500 0.500 1
V1 0.000 0.500 0.500 1
```

Material: LiHo6Se5
Method: DFT, PBE-GGA
State: relaxed

Summary:
For the raw formation energy, the calculation gives -1.362 eV/atom.

Geometry as CIF:
```
data_LiHo6Se5
_space_group_name_H-M_alt 'P 63/m c m'
_space_group_IT_number 193
_space_group_name_Hall '-P 6c 2'
_cell_length_a 6.7859
_cell_length_b 6.7859
_cell_length_c 14.2289
_cell_angle_alpha 90.00
_cell_angle_beta 90.00
_cell_angle_gamma 120.00
loop_
_atom_site_label
_atom_site_fract_x
_atom_site_fract_y
_atom_site_fract_z
_atom_site_occupancy
Li1 0.0000 0.0000 0.2500 1
Ho1 0.0000 0.3252 0.1141 1
Se1 0.0000 0.3496 0.7500 1
Se2 0.3333 0.6667 0.0000 1
```

Material: LiAcSb2
Method: DFT, PBE-GGA
State: relaxed

Summary:
For the raw formation energy, the calculation gives -0.876 eV/atom.

Geometry as CIF:
```
data_LiAcSb2
_space_group_name_H-M_alt 'P 4/n m m'
_space_group_IT_number 129
_cell_length_a 4.463
_cell_length_b 4.463
_cell_length_c 11.586
_cell_angle_alpha 90.00
_cell_angle_beta 90.00
_cell_angle_gamma 90.00
loop_
_space_group_symop_operation_xyz
'x,y,z'
'-x,-y,-z'
'-y+1/2,x,z'
'y+1/2,-x,-z'
'-x+1/2,-y+1/2,z'
'x+1/2,y+1/2,-z'
'y,-x+1/2,z'
'-y,x+1/2,-z'
'x+1/2,-y,-z'
'-x+1/2,y,z'
'-y,-x,-z'
'y,x,z'
'-x,y+1/2,-z'
'x,-y+1/2,z'
'y+1/2,x+1/2,-z'
'-y+1/2,-x+1/2,z'
loop_
_atom_site_label
_atom_site_fract_x
_atom_site_fract_y
_atom_site_fract_z
_atom_site_occupancy
Li1 0.250 0.750 0.000 1
Ac1 0.250 0.250 0.262 1
Sb1 0.250 0.250 0.849 1
Sb2 0.250 0.750 0.500 1
```

| no. | calculated volume (Å³/atom) | M_tot (μB/cell) |
| --- | --- | --- |
| 1 | 18.43 | 0.00 |
| 2 | 29.46 | 10.64 |
| 3 | 23.64 | 0.00 |
| 4 | 28.84 | 0.00 |